A plane-wave DFT calculation with SCAN was carried out for a crystal of CoHgW2 relaxed with PBEsol.

Properties
The formation enthalpy at 0 K is 0.50 eV/atom. The electronic total energy comes out at -55.715 eV per atom.

Cell lengths 2.7365, 2.7365, 8.0998 Å; angles 90.00, 90.00, 90.00 degrees
Last column: nearest neighbours and their distance in Å.
Element x y z (fractional)
Co 0.0000 0.0000 0.4803  4 W 2.51, 4 Co 2.74, 4 Hg 2.78
Hg 0.5000 0.5000 0.7264  4 Hg 2.74, 4 Co 2.78, 4 W 3.01
W 0.0000 0.0000 0.0111  8 W 2.74-2.93, 4 Hg 3.01
W 0.5000 0.5000 0.2822  4 Co 2.51, 4 W 2.74